VASP calculation (PBE) on a geometry-optimized UInTe4 structure.

Cell lengths 7.538, 7.362, 7.230 Å; angles 90.00, 91.60, 90.00 degrees
Space group P2_1/c (No. 14)
Inequivalent atoms, fractional coordinates:
U  0.000  0.000  0.000 x2
In  0.500  0.000  0.500 x2
Te  0.152  0.153  0.354 x4
Te  0.347  0.633  0.365 x4

Calculated values
Mass density in kg/m³: 7148
Formation energy (no corrections) in eV per atom: -0.2633

***

VASP calculation (PBE) on a geometry-optimized U2In2Te7 structure.

Cell lengths 7.903, 13.370, 9.086 Å; angles 90.00, 109.47, 90.00 degrees
Space group C2/m (No. 12)
Inequivalent atoms, fractional coordinates:
U  0.000  0.173  0.000 x4
In  0.186  0.000  0.612 x4
Te  0.000  0.500  0.500 x2
Te  0.206  0.000  0.189 x4
Te  0.224  0.189  0.789 x8

Calculated values
Mass density in kg/m³: 5866
Formation energy (no corrections) in eV per atom: -0.3169

***

VASP calculation (PBE) on a geometry-optimized Y3UIn3Te8 structure.

Cell lengths 8.7666, 8.7666, 24.4553 Å; angles 90.00, 90.00, 120.00 degrees
Space group R-3m (No. 166, hexagonal axes)
Inequivalent atoms, fractional coordinates:
Y  0.0000  0.5000  0.0000 x9
U  0.0000  0.0000  0.0000 x3
In  0.0000  0.5000  0.5000 x9
Te  0.0000  0.0000  0.2600 x6
Te  0.0021  0.5011  0.7394 x18

Calculated values
Mass density in kg/m³: 5724
Formation energy (no corrections) in eV per atom: -0.9072

***

VASP calculation (PBE) on a geometry-optimized ZrU3In3Te8 structure.

Cell lengths 8.4591, 8.4591, 25.1681 Å; angles 90.00, 90.00, 120.00 degrees
Space group R-3m (No. 166, hexagonal axes)
Inequivalent atoms, fractional coordinates:
Zr  0.0000  0.0000  0.0000 x3
U  0.0000  0.5000  0.0000 x9
In  0.0000  0.5000  0.5000 x9
Te  0.0000  0.0000  0.2577 x6
Te  0.0121  0.5061  0.7393 x18

Calculated values
Mass density in kg/m³: 6933
Formation energy (no corrections) in eV per atom: -0.5388

***

Question: What is the formula in the fourth record?
Answer: ZrU3In3Te8

***

Question: Which value of formation energy (no corrections) does entry 3 give?
Answer: -0.9072 eV per atom

***

Question: Which value of mass density does entry 3 give?
Answer: 5724 kg/m³

***

Question: Which value of mass density does entry 2 give?
Answer: 5866 kg/m³